Entry 1:
Density functional theory data (GGA-PBE) for crystalline CoTcC3 at its relaxed geometry.

a = 3.976 Å, b = 3.976 Å, c = 3.976 Å
α = 90.00°, β = 90.00°, γ = 90.00°
Positions (direct):
Co (0.000, 0.000, 0.000)
Tc (0.500, 0.500, 0.500)
C (0.000, 0.500, 0.500)
C (0.500, 0.000, 0.500)
C (0.500, 0.500, 0.000)

Values from the calculation:
Electronic total energy, eV/cell: -34.258
Crystal system: cubic
Space group: Pm-3m, No. 221

---

Entry 2:
Density functional theory data (GGA-PBE) for crystalline CoTcC3 at its relaxed geometry.

a = 3.661 Å, b = 3.661 Å, c = 3.661 Å
α = 90.00°, β = 90.00°, γ = 90.00°
Positions (direct):
Co (0.000, 0.000, 0.000)
Tc (0.500, 0.500, 0.500)
C (0.000, 0.000, 0.500)
C (0.000, 0.500, 0.000)
C (0.500, 0.000, 0.000)

Values from the calculation:
Electronic total energy, eV/cell: -34.214
Crystal system: cubic
Space group: Pm-3m, No. 221

---

Entry 3:
Density functional theory data (GGA-PBE) for crystalline CoTcC2 at its relaxed geometry.

a = 5.424 Å, b = 5.424 Å, c = 5.424 Å
α = 131.41°, β = 131.41°, γ = 71.16°
Positions (direct):
Co (0.000, 0.000, 0.000)
Co (0.750, 0.250, 0.500)
Tc (0.250, 0.750, 0.500)
Tc (0.500, 0.500, 0.000)
C (0.109, 0.625, 0.984)
C (0.375, 0.359, 0.484)
C (0.641, 0.125, 0.016)
C (0.875, 0.891, 0.516)

Values from the calculation:
Electronic total energy, eV/cell: -67.616
Crystal system: tetragonal
Space group: I-42d, No. 122

---

Entry 4:
Density functional theory data (GGA-PBE) for crystalline CoTcC2 at its relaxed geometry.

a = 3.660 Å, b = 3.660 Å, c = 3.660 Å
α = 60.00°, β = 60.00°, γ = 60.00°
Positions (direct):
Co (0.000, 0.000, 0.000)
Tc (0.500, 0.500, 0.500)
C (0.250, 0.250, 0.250)
C (0.750, 0.750, 0.750)

Values from the calculation:
Electronic total energy, eV/cell: -31.915
Crystal system: cubic
Space group: Fm-3m, No. 225

---

Entry 5:
Density functional theory data (GGA-PBE) for crystalline TiCo2TcC at its relaxed geometry.

a = 3.774 Å, b = 3.774 Å, c = 4.065 Å
α = 90.00°, β = 90.00°, γ = 90.00°
Positions (direct):
Ti (0.000, 0.000, 0.000)
Co (0.000, 0.500, 0.500)
Co (0.500, 0.000, 0.500)
Tc (0.500, 0.500, 0.000)
C (0.500, 0.500, 0.500)

Values from the calculation:
Electronic total energy, eV/cell: -42.834
Crystal system: tetragonal
Space group: P4/mmm, No. 123

---

Entry 6:
Density functional theory data (GGA-PBE) for crystalline YCoTc2C at its relaxed geometry.

a = 4.221 Å, b = 4.221 Å, c = 3.934 Å
α = 90.00°, β = 90.00°, γ = 90.00°
Positions (direct):
Y (0.000, 0.000, 0.000)
Co (0.500, 0.500, 0.000)
Tc (0.000, 0.500, 0.500)
Tc (0.500, 0.000, 0.500)
C (0.500, 0.500, 0.500)

Values from the calculation:
Electronic total energy, eV/cell: -43.491
Crystal system: tetragonal
Space group: P4/mmm, No. 123

---

Entry 7:
Density functional theory data (GGA-PBE) for crystalline YCo2TcC at its relaxed geometry.

a = 3.987 Å, b = 3.987 Å, c = 4.146 Å
α = 90.00°, β = 90.00°, γ = 90.00°
Positions (direct):
Y (0.000, 0.000, 0.000)
Co (0.000, 0.500, 0.500)
Co (0.500, 0.000, 0.500)
Tc (0.500, 0.500, 0.000)
C (0.500, 0.500, 0.500)

Values from the calculation:
Electronic total energy, eV/cell: -40.547
Crystal system: tetragonal
Space group: P4/mmm, No. 123

---

Entry 8:
Density functional theory data (GGA-PBE) for crystalline Y2CoTcC at its relaxed geometry.

a = 4.910 Å, b = 4.910 Å, c = 3.912 Å
α = 90.00°, β = 90.00°, γ = 90.00°
Positions (direct):
Y (0.000, 0.500, 0.000)
Y (0.500, 0.000, 0.000)
Co (0.000, 0.000, 0.500)
Tc (0.500, 0.500, 0.500)
C (0.500, 0.500, 0.000)

Values from the calculation:
Electronic total energy, eV/cell: -39.692
Crystal system: tetragonal
Space group: P4/mmm, No. 123

---

Entry 9:
Density functional theory data (GGA-PBE) for crystalline ZnCo2TcC at its relaxed geometry.

a = 3.804 Å, b = 3.804 Å, c = 4.023 Å
α = 90.00°, β = 90.00°, γ = 90.00°
Positions (direct):
Zn (0.000, 0.000, 0.000)
Co (0.000, 0.500, 0.500)
Co (0.500, 0.000, 0.500)
Tc (0.500, 0.500, 0.000)
C (0.500, 0.500, 0.500)

Values from the calculation:
Electronic total energy, eV/cell: -34.737
Crystal system: tetragonal
Space group: P4/mmm, No. 123

---

Entry 10:
Density functional theory data (GGA-PBE) for crystalline CoTe3C at its relaxed geometry.

a = 4.935 Å, b = 4.935 Å, c = 4.935 Å
α = 90.00°, β = 90.00°, γ = 90.00°
Positions (direct):
Co (0.000, 0.000, 0.000)
Te (0.000, 0.000, 0.500)
Te (0.000, 0.500, 0.000)
Te (0.500, 0.000, 0.000)
C (0.500, 0.500, 0.500)

Values from the calculation:
Energy relative to the elements, uncorrected, eV per atom: 1.651
Electronic total energy, eV/cell: -17.502
Crystal system: cubic
Space group: Pm-3m, No. 221

---

Entry 11:
Density functional theory data (GGA-PBE) for crystalline CoTeC3 at its relaxed geometry.

a = 4.139 Å, b = 4.139 Å, c = 4.139 Å
α = 90.00°, β = 90.00°, γ = 90.00°
Positions (direct):
Co (0.000, 0.000, 0.000)
Te (0.500, 0.500, 0.500)
C (0.000, 0.500, 0.500)
C (0.500, 0.000, 0.500)
C (0.500, 0.500, 0.000)

Values from the calculation:
Energy relative to the elements, uncorrected, eV per atom: 3.240
Electronic total energy, eV/cell: -21.718
Crystal system: cubic
Space group: Pm-3m, No. 221

---

Entry 12:
Density functional theory data (GGA-PBE) for crystalline Co3TeC at its relaxed geometry.

a = 4.688 Å, b = 4.688 Å, c = 4.688 Å
α = 90.00°, β = 90.00°, γ = 90.00°
Positions (direct):
Co (0.000, 0.000, 0.500)
Co (0.000, 0.500, 0.000)
Co (0.500, 0.000, 0.000)
Te (0.000, 0.000, 0.000)
C (0.500, 0.500, 0.500)

Values from the calculation:
Energy relative to the elements, uncorrected, eV per atom: 2.375
Electronic total energy, eV/cell: -21.806
Crystal system: cubic
Space group: Pm-3m, No. 221